The following is a DFT calculation (PBE) of crystalline Ba3PmRh2O9 at its relaxed geometry.

Output
**Raw formation energy**: -1997.1 meV per atom
**Volume**: 222.9 Å³/cell
**Calculated total energy**: -0.4890 Ry/atom
**Symmetry**: P-3m1

Structure (extended XYZ):
```
15
Lattice="-2.140 -4.127 -3.671 3.625 -1.558 4.418 -5.782 -0.930 4.417" Properties=species:S:1:pos:R:3 pbc="T T T"
Ba -2.051 -3.566 0.426
Ba 0.000 0.000 0.000
Rh 0.794 -2.561 2.417
O 1.813 -0.779 2.209
O 0.778 -2.309 4.368
Pm -2.891 -0.465 2.208
O -5.075 -4.307 0.796
Rh -5.091 -4.055 2.748
O 0.743 -2.843 0.374
O -1.070 -2.064 -1.835
O -4.078 -2.385 2.505
O -3.387 -5.032 2.853
Ba -2.246 -3.050 4.739
O -0.910 -1.583 2.311
O -0.219 -4.230 2.659
```